# 1
First-principles (GGA-PBE) data for crystalline TcAgBr2 at its relaxed geometry, as listed in Alexandria.

CIF file:
```
data_TcAgBr2
_symmetry_space_group_name_H-M 'P 1 m 1'
_symmetry_Int_Tables_number 6
_cell_length_a 4.953
_cell_length_b 3.826
_cell_length_c 6.644
_cell_angle_alpha 90.00
_cell_angle_beta 90.14
_cell_angle_gamma 90.00
loop_
_symmetry_equiv_pos_as_xyz
'x,y,z'
'x,-y,z'
loop_
_atom_site_label
_atom_site_fract_x
_atom_site_fract_y
_atom_site_fract_z
Tc1 0.000 0.000 0.000
Ag1 0.998 0.500 0.697
Br1 0.000 0.500 0.298
Br2 0.499 0.000 0.870
```

Raw formation energy (eV/f.u.): 1.44


# 2
First-principles (GGA-PBE) data for crystalline MgSc2In at its relaxed geometry, as listed in Alexandria.

CIF file:
```
data_MgSc2In
_symmetry_space_group_name_H-M 'P 4 m m'
_symmetry_Int_Tables_number 99
_cell_length_a 3.272
_cell_length_b 3.272
_cell_length_c 8.727
_cell_angle_alpha 90.00
_cell_angle_beta 90.00
_cell_angle_gamma 90.00
loop_
_symmetry_equiv_pos_as_xyz
'x,y,z'
'-y,x,z'
'-x,-y,z'
'y,-x,z'
'-x,y,z'
'y,x,z'
'x,-y,z'
'-y,-x,z'
loop_
_atom_site_label
_atom_site_fract_x
_atom_site_fract_y
_atom_site_fract_z
Mg1 0.000 0.000 0.000
Sc1 0.000 0.000 0.513
Sc2 0.500 0.500 0.257
In1 0.500 0.500 0.761
```

Calculated formation energy (eV per atom): -0.17